## Ta2MnO6 (PBE with a Hubbard U)

Data for a relaxed Ta2MnO6 crystal.

Calculated values
**Calculated volume**: 113 Å³/cell
**Total magnetic moment**: 5.00 Bohr magnetons per cell
**Energy above the lowest structure with this stoichiometry**: 4.81 kJ per mole of atoms

Cell: 5.2668 5.2668 4.6932 Å, 90.00 90.00 120.00°
With the nearest neighbours (Å) after each atom.
Space group P-31m (No. 162)
Inequivalent atoms, fractional coordinates:
Ta 0.3333 0.6667 0.0000  6 O 2.01
Mn 0.0000 0.0000 0.5000  6 O 2.27
O 0.0000 0.3572 0.7720  2 Ta 2.01